InFeSCl2 | Alexandria | PBEsol | optimized geometry; DFT total energy = -18.84 eV/cell; Fermi-level density of states = 1.55 states/eV/atom
1.0
4.9843 0.0000 0.0000
0.0000 4.9843 0.0000
0.0000 0.0000 5.0105
In Fe S Cl
1 1 1 2
direct
0.0000 0.0000 0.0000 In
0.5000 0.5000 0.5000 Fe
0.0000 0.0000 0.5000 S
0.0000 0.5000 0.0000 Cl
0.5000 0.0000 0.0000 Cl